Entry 1:
The following is a DFT calculation (PBE) of a relaxed AgSnB2 crystal.

```
data_AgSnB2
_space_group_name_H-M_alt 'P 1'
_space_group_IT_number 1
_space_group_name_Hall 'P 1'
_cell_length_a 5.137
_cell_length_b 5.137
_cell_length_c 6.439
_cell_angle_alpha 66.49
_cell_angle_beta 66.49
_cell_angle_gamma 90.00
loop_
_atom_site_label
_atom_site_type_symbol
_atom_site_fract_x
_atom_site_fract_y
_atom_site_fract_z
B1 B 0.608 0.125 0.250
B2 B 0.142 0.625 0.250
B3 B 0.375 0.392 0.750
B4 B 0.875 0.858 0.750
Sn1 Sn 0.000 0.000 0.000
Sn2 Sn 0.750 0.250 0.500
Ag1 Ag 0.500 0.500 0.000
Ag2 Ag 0.250 0.750 0.500
```

N(E_F)   0.56 states/eV per atom
Energy of formation   1.17 eV per atom

***

Entry 2:
The following is a DFT calculation (PBE) of a relaxed Ag3SnB crystal.

```
data_Ag3SnB
_space_group_name_H-M_alt 'P 1'
_space_group_IT_number 1
_space_group_name_Hall 'P 1'
_cell_length_a 5.216
_cell_length_b 5.216
_cell_length_c 5.216
_cell_angle_alpha 90.00
_cell_angle_beta 90.00
_cell_angle_gamma 90.00
loop_
_atom_site_label
_atom_site_type_symbol
_atom_site_fract_x
_atom_site_fract_y
_atom_site_fract_z
B1 B 0.500 0.500 0.500
Sn1 Sn 0.000 0.000 0.000
Ag1 Ag 0.000 0.500 0.000
Ag2 Ag 0.000 0.000 0.500
Ag3 Ag 0.500 0.000 0.000
```

N(E_F)   0.32 states/eV per atom
Energy of formation   1.44 eV per atom
E above lowest polymorph   1018 meV per atom

***

Entry 3:
The following is a DFT calculation (PBE) of a relaxed Ag3SnB crystal.

```
data_Ag3SnB
_space_group_name_H-M_alt 'P 1'
_space_group_IT_number 1
_space_group_name_Hall 'P 1'
_cell_length_a 4.505
_cell_length_b 4.505
_cell_length_c 4.505
_cell_angle_alpha 90.00
_cell_angle_beta 90.00
_cell_angle_gamma 90.00
loop_
_atom_site_label
_atom_site_type_symbol
_atom_site_fract_x
_atom_site_fract_y
_atom_site_fract_z
B1 B 0.000 0.000 0.000
Sn1 Sn 0.500 0.500 0.500
Ag1 Ag 0.000 0.500 0.000
Ag2 Ag 0.000 0.000 0.500
Ag3 Ag 0.500 0.000 0.000
```

N(E_F)   0.26 states/eV per atom
Energy of formation   0.42 eV per atom
E above lowest polymorph   0 meV per atom

***

Entry 4:
The following is a DFT calculation (PBE) of a relaxed Sr2AgB crystal.

```
data_Sr2AgB
_space_group_name_H-M_alt 'P 1'
_space_group_IT_number 1
_space_group_name_Hall 'P 1'
_cell_length_a 8.025
_cell_length_b 8.025
_cell_length_c 6.881
_cell_angle_alpha 54.33
_cell_angle_beta 54.33
_cell_angle_gamma 90.00
loop_
_atom_site_label
_atom_site_type_symbol
_atom_site_fract_x
_atom_site_fract_y
_atom_site_fract_z
Sr1 Sr 0.578 0.125 0.250
Sr2 Sr 0.172 0.625 0.250
Sr3 Sr 0.375 0.422 0.750
Sr4 Sr 0.875 0.828 0.750
B1 B 0.500 0.500 0.000
B2 B 0.250 0.750 0.500
Ag1 Ag 0.000 0.000 0.000
Ag2 Ag 0.750 0.250 0.500
```

N(E_F)   0.70 states/eV per atom
Energy of formation   0.58 eV per atom

***

Entry 5:
The following is a DFT calculation (PBE) of a relaxed SrTaAgB2 crystal.

```
data_SrTaAgB2
_space_group_name_H-M_alt 'P 1'
_space_group_IT_number 1
_space_group_name_Hall 'P 1'
_cell_length_a 4.331
_cell_length_b 5.278
_cell_length_c 4.331
_cell_angle_alpha 90.00
_cell_angle_beta 90.00
_cell_angle_gamma 90.00
loop_
_atom_site_label
_atom_site_type_symbol
_atom_site_fract_x
_atom_site_fract_y
_atom_site_fract_z
Sr1 Sr 0.000 0.500 0.000
B1 B 0.000 0.000 0.500
B2 B 0.500 0.000 0.000
Ag1 Ag 0.000 0.000 0.000
Ta1 Ta 0.500 0.500 0.500
```

N(E_F)   0.74 states/eV per atom
Energy of formation   2.07 eV per atom

***

Entry 6:
The following is a DFT calculation (PBE) of a relaxed Ta3AgB crystal.

```
data_Ta3AgB
_space_group_name_H-M_alt 'P 1'
_space_group_IT_number 1
_space_group_name_Hall 'P 1'
_cell_length_a 4.364
_cell_length_b 4.364
_cell_length_c 4.364
_cell_angle_alpha 90.00
_cell_angle_beta 90.00
_cell_angle_gamma 90.00
loop_
_atom_site_label
_atom_site_type_symbol
_atom_site_fract_x
_atom_site_fract_y
_atom_site_fract_z
B1 B 0.000 0.000 0.000
Ag1 Ag 0.500 0.500 0.500
Ta1 Ta 0.000 0.500 0.000
Ta2 Ta 0.000 0.000 0.500
Ta3 Ta 0.500 0.000 0.000
```

N(E_F)   1.23 states/eV per atom
Energy of formation   0.11 eV per atom
E above lowest polymorph   0 meV per atom

***

Entry 7:
The following is a DFT calculation (PBE) of a relaxed TaAgB3 crystal.

```
data_TaAgB3
_space_group_name_H-M_alt 'P 1'
_space_group_IT_number 1
_space_group_name_Hall 'P 1'
_cell_length_a 4.058
_cell_length_b 4.058
_cell_length_c 4.058
_cell_angle_alpha 90.00
_cell_angle_beta 90.00
_cell_angle_gamma 90.00
loop_
_atom_site_label
_atom_site_type_symbol
_atom_site_fract_x
_atom_site_fract_y
_atom_site_fract_z
B1 B 0.000 0.500 0.000
B2 B 0.000 0.000 0.500
B3 B 0.500 0.000 0.000
Ag1 Ag 0.000 0.000 0.000
Ta1 Ta 0.500 0.500 0.500
```

N(E_F)   0.80 states/eV per atom
Energy of formation   2.09 eV per atom
E above lowest polymorph   576 meV per atom

***

Entry 8:
The following is a DFT calculation (PBE) of a relaxed TaAgB3 crystal.

```
data_TaAgB3
_space_group_name_H-M_alt 'P 1'
_space_group_IT_number 1
_space_group_name_Hall 'P 1'
_cell_length_a 4.300
_cell_length_b 4.300
_cell_length_c 4.300
_cell_angle_alpha 90.00
_cell_angle_beta 90.00
_cell_angle_gamma 90.00
loop_
_atom_site_label
_atom_site_type_symbol
_atom_site_fract_x
_atom_site_fract_y
_atom_site_fract_z
B1 B 0.000 0.500 0.000
B2 B 0.000 0.000 0.500
B3 B 0.500 0.000 0.000
Ag1 Ag 0.500 0.500 0.500
Ta1 Ta 0.000 0.000 0.000
```

N(E_F)   0.42 states/eV per atom
Energy of formation   1.51 eV per atom
E above lowest polymorph   0 meV per atom

***

Entry 9:
The following is a DFT calculation (PBE) of a relaxed Ta3AgB crystal.

```
data_Ta3AgB
_space_group_name_H-M_alt 'P 1'
_space_group_IT_number 1
_space_group_name_Hall 'P 1'
_cell_length_a 4.844
_cell_length_b 4.844
_cell_length_c 4.844
_cell_angle_alpha 90.00
_cell_angle_beta 90.00
_cell_angle_gamma 90.00
loop_
_atom_site_label
_atom_site_type_symbol
_atom_site_fract_x
_atom_site_fract_y
_atom_site_fract_z
B1 B 0.500 0.500 0.500
Ag1 Ag 0.000 0.000 0.000
Ta1 Ta 0.000 0.500 0.000
Ta2 Ta 0.000 0.000 0.500
Ta3 Ta 0.500 0.000 0.000
```

N(E_F)   1.33 states/eV per atom
Energy of formation   2.80 eV per atom
E above lowest polymorph   2689 meV per atom

***

Entry 10:
The following is a DFT calculation (PBE) of a relaxed Ta2AgB crystal.

```
data_Ta2AgB
_space_group_name_H-M_alt 'P 1'
_space_group_IT_number 1
_space_group_name_Hall 'P 1'
_cell_length_a 6.830
_cell_length_b 6.830
_cell_length_c 5.545
_cell_angle_alpha 51.98
_cell_angle_beta 51.98
_cell_angle_gamma 90.00
loop_
_atom_site_label
_atom_site_type_symbol
_atom_site_fract_x
_atom_site_fract_y
_atom_site_fract_z
B1 B 0.500 0.500 0.000
B2 B 0.250 0.750 0.500
Ag1 Ag 0.000 0.000 0.000
Ag2 Ag 0.750 0.250 0.500
Ta1 Ta 0.569 0.125 0.250
Ta2 Ta 0.181 0.625 0.250
Ta3 Ta 0.375 0.431 0.750
Ta4 Ta 0.875 0.819 0.750
```

N(E_F)   0.86 states/eV per atom
Energy of formation   0.49 eV per atom

***

Entry 11:
The following is a DFT calculation (PBE) of a relaxed Ta2TcAgB crystal.

```
data_Ta2TcAgB
_space_group_name_H-M_alt 'P 1'
_space_group_IT_number 1
_space_group_name_Hall 'P 1'
_cell_length_a 4.344
_cell_length_b 4.148
_cell_length_c 4.344
_cell_angle_alpha 90.00
_cell_angle_beta 90.00
_cell_angle_gamma 90.00
loop_
_atom_site_label
_atom_site_type_symbol
_atom_site_fract_x
_atom_site_fract_y
_atom_site_fract_z
B1 B 0.000 0.000 0.000
Tc1 Tc 0.500 0.500 0.500
Ag1 Ag 0.000 0.500 0.000
Ta1 Ta 0.000 0.000 0.500
Ta2 Ta 0.500 0.000 0.000
```

N(E_F)   0.68 states/eV per atom
Energy of formation   0.38 eV per atom

***

Entry 12:
The following is a DFT calculation (PBE) of a relaxed TbAgB crystal.

```
data_TbAgB
_space_group_name_H-M_alt 'P 1'
_space_group_IT_number 1
_space_group_name_Hall 'P 1'
_cell_length_a 3.789
_cell_length_b 4.864
_cell_length_c 6.911
_cell_angle_alpha 99.93
_cell_angle_beta 90.00
_cell_angle_gamma 112.92
loop_
_atom_site_label
_atom_site_type_symbol
_atom_site_fract_x
_atom_site_fract_y
_atom_site_fract_z
Tb1 Tb 0.111 0.223 0.812
Tb2 Tb 0.889 0.777 0.188
Ag1 Ag 0.365 0.730 0.580
Ag2 Ag 0.635 0.270 0.420
B1 B 0.579 0.159 0.072
B2 B 0.421 0.841 0.928
```

N(E_F)   0.57 states/eV per atom
Energy of formation   -0.16 eV per atom

***

Entry 13:
The following is a DFT calculation (PBE) of a relaxed TcAg3B crystal.

```
data_TcAg3B
_space_group_name_H-M_alt 'P 1'
_space_group_IT_number 1
_space_group_name_Hall 'P 1'
_cell_length_a 4.350
_cell_length_b 4.350
_cell_length_c 4.350
_cell_angle_alpha 90.00
_cell_angle_beta 90.00
_cell_angle_gamma 90.00
loop_
_atom_site_label
_atom_site_type_symbol
_atom_site_fract_x
_atom_site_fract_y
_atom_site_fract_z
B1 B 0.000 0.000 0.000
Tc1 Tc 0.500 0.500 0.500
Ag1 Ag 0.000 0.500 0.000
Ag2 Ag 0.000 0.000 0.500
Ag3 Ag 0.500 0.000 0.000
```

N(E_F)   0.61 states/eV per atom
Energy of formation   0.96 eV per atom
E above lowest polymorph   0 meV per atom